# meta-GGA SCAN TcIr2Pd2, single point on PBEsol structure
# - DFT formation energy (eV per atom) = 0.537
data_TcIr2Pd2
_cell_length_a 3.531
_cell_length_b 3.531
_cell_length_c 6.764
_cell_angle_alpha 105.13
_cell_angle_beta 105.13
_cell_angle_gamma 90.00
_space_group_name_H-M_alt 'P 1'
_space_group_IT_number 1
loop_
_space_group_symop_operation_xyz
'x,y,z'
loop_
_atom_site_label
_atom_site_type_symbol
_atom_site_fract_x
_atom_site_fract_y
_atom_site_fract_z
Tc1 Tc 0.000 0.000 0.000
Ir1 Ir 0.596 0.596 0.191
Ir2 Ir 0.404 0.404 0.809
Pd1 Pd 0.250 0.750 0.500
Pd2 Pd 0.750 0.250 0.500